Entry 1:
This record from Alexandria describes Li3U2NiS6 after structural relaxation. The functional is PBE.

abc: 6.4444 6.4444 6.5682
angles: 99.24 99.24 120.18
With the nearest neighbours (Å) after each atom.
Atoms (fractional coordinates):
S1 0.2355 0.2355 0.7581  1 Ni 2.52, 3 Li 2.62-2.76, 2 U 2.68
S2 0.5947 0.9159 0.7487  1 Ni 2.60, 3 Li 2.61-2.74, 2 U 2.68
S3 0.9159 0.5947 0.7487  1 Ni 2.60, 3 Li 2.61-2.74, 2 U 2.68
S4 0.0841 0.4053 0.2513  1 Ni 2.60, 3 Li 2.61-2.74, 2 U 2.68
S5 0.7645 0.7645 0.2419  1 Ni 2.52, 3 Li 2.62-2.76, 2 U 2.68
S6 0.4053 0.0841 0.2513  1 Ni 2.60, 3 Li 2.61-2.74, 2 U 2.68
Li1 0.1636 0.8364 0.5000  6 S 2.61-2.74
Li2 0.5000 0.5000 0.5000  6 S 2.62-2.76
Li3 0.8364 0.1636 0.5000  6 S 2.61-2.74
U1 0.6680 0.3320 0.0000  6 S 2.68
U2 0.3320 0.6680 0.0000  6 S 2.68
Ni1 0.0000 0.0000 0.0000  6 S 2.52-2.60

The calculation puts the total magnetization at 0.398 μB/atom. The space group is C2/m (12). The calculated volume comes out at 223.2 Å³ per cell. The calculation puts the total energy at -6.06 eV per atom.

---

Entry 2:
This record from Alexandria describes NiRhPb2 after structural relaxation. The functional is PBE.

abc: 7.8922 7.8922 7.8922
angles: 25.51 25.51 25.51
With the nearest neighbours (Å) after each atom.
Atoms (fractional coordinates):
Pb1 0.0036 0.0036 0.0036  3 Ni 2.72, 3 Rh 2.83
Pb2 0.4964 0.4964 0.4964  3 Ni 2.72, 3 Rh 2.83
Ni1 0.7500 0.7500 0.7500  6 Pb 2.72
Rh1 0.2500 0.2500 0.2500  6 Pb 2.83

The calculation puts the total magnetization at 0.000 μB/atom. The space group is R-3m (166). The calculated volume comes out at 80.3 Å³ per cell. The calculation puts the total energy at -4.89 eV per atom. The calculation puts the relative energy among the computed polymorphs at 18.60 kJ/mol of atoms. As for the formation energy: 0.251 eV/atom.

---

Entry 3:
This record from Alexandria describes Os2NF after structural relaxation. The functional is PBE.

abc: 4.6680 4.6680 6.1199
angles: 67.58 67.58 90.00
With the nearest neighbours (Å) after each atom.
Atoms (fractional coordinates):
N1 0.2500 0.7500 0.5000  4 Os 1.90
N2 0.5000 0.5000 0.0000  4 Os 1.90
Os1 0.8750 0.7919 0.7500  2 N 1.90
Os2 0.3750 0.4581 0.7500  2 N 1.90
Os3 0.2081 0.6250 0.2500  2 N 1.90
Os4 0.5419 0.1250 0.2500  2 N 1.90
F1 0.7500 0.2500 0.5000  4 Os 2.33
F2 0.0000 0.0000 0.0000  4 Os 2.33

The calculation puts the total magnetization at 0.000 μB/atom. The space group is I-42d (122). The calculated volume comes out at 112.3 Å³ per cell. The calculation puts the total energy at -7.52 eV per atom. The calculation puts the relative energy among the computed polymorphs at 0.00 kJ/mol of atoms.